# 1
A relaxed structure of YAg2Ir. Source: Alexandria, functional PBE.

Properties
- total energy (eV/atom) = -5.329
- calculated density (Mg/m³) = 10.5
- ΔE_f (meV per atom) = -72
- energy above the most stable polymorph in this dataset (kJ/mol of formula units) = 83

CIF file:
```
data_YAg2Ir
_chemical_formula_sum 'Y1 Ag2 Ir1'
_symmetry_space_group_name_H-M 'P 1 2/m 1'
_symmetry_Int_Tables_number 10
_cell_length_a 3.1968
_cell_length_b 4.9299
_cell_length_c 5.1005
_cell_angle_alpha 90.00
_cell_angle_beta 100.89
_cell_angle_gamma 90.00
loop_
_symmetry_equiv_pos_as_xyz
'x,y,z'
'-x,-y,-z'
'-x,y,-z'
'x,-y,z'
loop_
_atom_site_label
_atom_site_type_symbol
_atom_site_fract_x
_atom_site_fract_y
_atom_site_fract_z
Y1 Y 0.0000 0.0000 0.0000
Ag1 Ag 0.3297 0.5000 0.7297
Ir1 Ir 0.5000 0.0000 0.5000
```

=====

# 2
A relaxed structure of InIrPtO6. Source: Alexandria, functional PBE.

Properties
- total energy (eV/atom) = -6.083
- E_form (uncorrected) (eV per atom) = -0.817
- calculated density (Mg/m³) = 9.3

CIF file:
```
data_InIrPtO6
_chemical_formula_sum 'In2 Ir2 Pt2 O12'
_symmetry_space_group_name_H-M 'P 42 n m'
_symmetry_Int_Tables_number 102
_cell_length_a 4.6772
_cell_length_b 4.6772
_cell_length_c 9.7643
_cell_angle_alpha 90.00
_cell_angle_beta 90.00
_cell_angle_gamma 90.00
loop_
_symmetry_equiv_pos_as_xyz
'x,y,z'
'-y+1/2,x+1/2,z+1/2'
'-x,-y,z'
'y+1/2,-x+1/2,z+1/2'
'-x+1/2,y+1/2,z+1/2'
'y,x,z'
'x+1/2,-y+1/2,z+1/2'
'-y,-x,z'
loop_
_atom_site_label
_atom_site_type_symbol
_atom_site_fract_x
_atom_site_fract_y
_atom_site_fract_z
In1 In 0.0000 0.0000 0.0000
Ir1 Ir 0.0000 0.0000 0.6682
Pt1 Pt 0.0000 0.0000 0.3319
O1 O 0.1797 0.1797 0.5018
O2 O 0.1942 0.1942 0.8267
O3 O 0.2024 0.2024 0.1712
```

=====

# 3
A relaxed structure of TmAl4Pd2. Source: Alexandria, functional PBE.

Properties
- total energy (eV/atom) = -4.948
- calculated density (Mg/m³) = 6.6
- ΔE_f (meV per atom) = -687

CIF file:
```
data_TmAl4Pd2
_chemical_formula_sum 'Tm2 Al8 Pd4'
_symmetry_space_group_name_H-M 'P 42/m n m'
_symmetry_Int_Tables_number 136
_symmetry_space_group_name_Hall '-P 4n 2n'
_cell_length_a 7.7143
_cell_length_b 7.7143
_cell_length_c 4.1281
_cell_angle_alpha 90.00
_cell_angle_beta 90.00
_cell_angle_gamma 90.00
loop_
_atom_site_label
_atom_site_type_symbol
_atom_site_fract_x
_atom_site_fract_y
_atom_site_fract_z
Tm1 Tm 0.0000 0.0000 0.0000
Al1 Al 0.0862 0.3355 0.5000
Pd1 Pd 0.2194 0.7806 0.5000
```

=====

Which of these has the highest total energy?
TmAl4Pd2

=====

What is the formula in the first record?
YAg2Ir